NiSb2F | GGA-PBEsol | optimized geometry

## Properties
Raw total energy = -4.67 eV per atom

POSCAR file:
```
NiSb2F
1.0
-2.592 2.592 6.359
2.592 -2.592 6.359
2.592 2.592 -6.359
Ni Sb F
2 4 2
direct
0.000 0.000 0.000
0.750 0.250 0.500
0.109 0.625 0.984
0.375 0.359 0.484
0.641 0.125 0.016
0.875 0.891 0.516
0.250 0.750 0.500
0.500 0.500 0.000
```